Entry i
Entry from Alexandria via LeMat-Bulk: TiN2Cl after structural relaxation (PBE-GGA).

Crystal system: cubic
Spin magnetization: 0.86 μB/f.u.
Density of states at the Fermi level: 1.291 states/eV per atom
Symmetry: Fm-3m

Lattice parameters (Å, degrees): 3.931 3.931 3.931 60.00 60.00 60.00
Site moments in Bohr magnetons follow the coordinates.
Fractional coordinates of all 4 atoms:
Ti  0.500  0.500  0.500  0.08
N  0.250  0.250  0.250  0.22
N  0.750  0.750  0.750  0.22
Cl  0.000  0.000  0.000  0.14

Entry ii
Entry from Alexandria via LeMat-Bulk: TiN2Cl after structural relaxation (PBE-GGA).

Crystal system: trigonal
Spin magnetization: 0.00 μB/f.u.
Density of states at the Fermi level: 0.633 states/eV per atom
Symmetry: R-3m

Lattice parameters (Å, degrees): 6.192 6.192 6.192 29.20 29.20 29.20
Fractional coordinates of all 4 atoms:
Ti  0.500  0.500  0.500
N  0.108  0.108  0.108
N  0.892  0.892  0.892
Cl  0.000  0.000  0.000

Entry iii
Entry from Alexandria via LeMat-Bulk: TiN2Cl after structural relaxation (PBE-GGA).

Crystal system: tetragonal
Spin magnetization: 0.95 μB/f.u.
Density of states at the Fermi level: 0.861 states/eV per atom
Symmetry: I-42d

Lattice parameters (Å, degrees): 5.149 5.149 6.210 65.51 65.51 90.00
Site moments in Bohr magnetons follow the coordinates.
Fractional coordinates of all 8 atoms:
Ti  0.750  0.250  0.500  0.02
Ti  0.000  0.000  0.000  0.02
N  0.001  0.625  0.250  0.21
N  0.875  0.999  0.750  0.21
N  0.375  0.251  0.750  0.22
N  0.749  0.125  0.250  0.21
Cl  0.250  0.750  0.500  0.26
Cl  0.500  0.500  0.000  0.28

What is the stability order? It is entry ii, entry iii, entry i, from most stable to least stable.

Entry i
Entry from Alexandria via LeMat-Bulk: TiNCl2 after structural relaxation (PBE-GGA).

Crystal system: cubic
Spin magnetization: 1.00 μB/f.u.
Density of states at the Fermi level: 0.170 states/eV per atom
Symmetry: Fm-3m

Lattice parameters (Å, degrees): 4.439 4.439 4.439 60.00 60.00 60.00
Site moments in Bohr magnetons follow the coordinates.
Fractional coordinates of all 4 atoms:
Cl  0.250  0.250  0.250  0.13
Cl  0.750  0.750  0.750  0.13
Ti  0.500  0.500  0.500  -1.27
N  0.000  0.000  0.000  1.52

Entry ii
Entry from Alexandria via LeMat-Bulk: TiNCl2 after structural relaxation (PBE-GGA).

Crystal system: trigonal
Spin magnetization: 0.21 μB/f.u.
Density of states at the Fermi level: 1.599 states/eV per atom
Symmetry: R-3m

Lattice parameters (Å, degrees): 9.200 9.200 9.200 20.03 20.03 20.03
Site moments in Bohr magnetons follow the coordinates.
Fractional coordinates of all 4 atoms:
Ti  0.500  0.500  0.500  0.13
N  0.000  0.000  0.000  -0.01
Cl  0.893  0.893  0.893  0.01
Cl  0.107  0.107  0.107  0.01

What is the stability order? It is entry i, entry ii, from most stable to least stable.

Entry i
Entry from Alexandria via LeMat-Bulk: TiNCl3 after structural relaxation (PBE-GGA).

Crystal system: cubic
Spin magnetization: 2.34 μB/f.u.
Density of states at the Fermi level: 0.596 states/eV per atom
Symmetry: Pm-3m

Lattice parameters (Å, degrees): 4.467 4.467 4.467 90.00 90.00 90.00
Site moments in Bohr magnetons follow the coordinates.
Fractional coordinates of all 5 atoms:
Cl  0.500  0.000  0.000  -0.01
Cl  0.000  0.500  0.000  0.01
Cl  0.000  0.000  0.500  0.01
Ti  0.500  0.500  0.500  -1.90
N  0.000  0.000  0.000  -0.11

Entry ii
Entry from Alexandria via LeMat-Bulk: TiNCl3 after structural relaxation (PBE-GGA).

Crystal system: cubic
Spin magnetization: 2.97 μB/f.u.
Density of states at the Fermi level: 0.524 states/eV per atom
Symmetry: Pm-3m

Lattice parameters (Å, degrees): 4.807 4.807 4.807 90.00 90.00 90.00
Site moments in Bohr magnetons follow the coordinates.
Fractional coordinates of all 5 atoms:
Cl  0.500  0.000  0.000  0.02
Cl  0.000  0.500  0.000  0.01
Cl  0.000  0.000  0.500  0.04
Ti  0.000  0.000  0.000  -0.01
N  0.500  0.500  0.500  1.92

What is the stability order? It is entry ii, entry i, from most stable to least stable.

Entry i
Entry from Alexandria via LeMat-Bulk: TlNCl3 after structural relaxation (PBE-GGA).

Crystal system: cubic
Spin magnetization: 2.93 μB/f.u.
Density of states at the Fermi level: 5.394 states/eV per atom
Symmetry: Pm-3m

Lattice parameters (Å, degrees): 5.282 5.282 5.282 90.00 90.00 90.00
Site moments in Bohr magnetons follow the coordinates.
Fractional coordinates of all 5 atoms:
Tl  0.000  0.000  0.000  0.01
N  0.500  0.500  0.500  1.92
Cl  0.000  0.000  0.500  0.02
Cl  0.000  0.500  0.000  -0.01
Cl  0.500  0.000  0.000  0.00

Entry ii
Entry from Alexandria via LeMat-Bulk: TlNCl3 after structural relaxation (PBE-GGA).

Crystal system: cubic
Spin magnetization: 0.00 μB/f.u.
Density of states at the Fermi level: 0.326 states/eV per atom
Symmetry: Pm-3m

Lattice parameters (Å, degrees): 4.661 4.661 4.661 90.00 90.00 90.00
Fractional coordinates of all 5 atoms:
Cl  0.500  0.000  0.000
Cl  0.000  0.500  0.000
Cl  0.000  0.000  0.500
N  0.000  0.000  0.000
Tl  0.500  0.500  0.500

What is the stability order? It is entry ii, entry i, from most stable to least stable.

Entry i
Entry from Alexandria via LeMat-Bulk: VN2Cl after structural relaxation (PBE-GGA).

Crystal system: trigonal
Spin magnetization: 0.00 μB/f.u.
Density of states at the Fermi level: 0.844 states/eV per atom
Symmetry: R-3m

Lattice parameters (Å, degrees): 6.965 6.965 6.965 25.16 25.16 25.16
Fractional coordinates of all 4 atoms:
N  0.913  0.913  0.913
N  0.087  0.087  0.087
Cl  0.500  0.500  0.500
V  0.000  0.000  0.000

Entry ii
Entry from Alexandria via LeMat-Bulk: VN2Cl after structural relaxation (PBE-GGA).

Crystal system: trigonal
Spin magnetization: 0.00 μB/f.u.
Density of states at the Fermi level: 0.397 states/eV per atom
Symmetry: R-3m

Lattice parameters (Å, degrees): 6.209 6.209 6.209 27.82 27.82 27.82
Fractional coordinates of all 4 atoms:
N  0.109  0.109  0.109
N  0.891  0.891  0.891
Cl  0.000  0.000  0.000
V  0.500  0.500  0.500

What is the stability order? It is entry ii, entry i, from most stable to least stable.

Entry i
Entry from Alexandria via LeMat-Bulk: W2NCl after structural relaxation (PBE-GGA).

Crystal system: cubic
Spin magnetization: 0.00 μB/f.u.
Density of states at the Fermi level: 0.880 states/eV per atom
Symmetry: Fm-3m

Lattice parameters (Å, degrees): 4.110 4.110 4.110 60.00 60.00 60.00
Fractional coordinates of all 4 atoms:
Cl  0.500  0.500  0.500
W  0.250  0.250  0.250
W  0.750  0.750  0.750
N  0.000  0.000  0.000

Entry ii
Entry from Alexandria via LeMat-Bulk: W2NCl after structural relaxation (PBE-GGA).

Crystal system: tetragonal
Spin magnetization: 0.00 μB/f.u.
Density of states at the Fermi level: 0.098 states/eV per atom
Symmetry: I-42d

Lattice parameters (Å, degrees): 4.315 4.315 7.196 72.55 72.55 90.00
Fractional coordinates of all 8 atoms:
W  0.375  0.451  0.750
W  0.875  0.799  0.750
W  0.549  0.125  0.250
W  0.201  0.625  0.250
N  0.500  0.500  0.000
N  0.250  0.750  0.500
Cl  0.750  0.250  0.500
Cl  0.000  0.000  0.000

What is the stability order? It is entry ii, entry i, from most stable to least stable.

Entry i
Entry from Alexandria via LeMat-Bulk: W2NCl2 after structural relaxation (PBE-GGA).

Crystal system: tetragonal
Spin magnetization: 2.06 μB/f.u.
Density of states at the Fermi level: 0.630 states/eV per atom
Symmetry: I4/mmm

Lattice parameters (Å, degrees): 3.875 3.875 6.880 73.64 73.64 90.00
Site moments in Bohr magnetons follow the coordinates.
Fractional coordinates of all 5 atoms:
N  0.000  0.000  0.000  1.56
Cl  0.627  0.627  0.745  0.00
Cl  0.373  0.373  0.255  0.00
W  0.750  0.250  0.500  -0.08
W  0.250  0.750  0.500  -0.08

Entry ii
Entry from Alexandria via LeMat-Bulk: W2NCl2 after structural relaxation (PBE-GGA).

Crystal system: tetragonal
Spin magnetization: 0.00 μB/f.u.
Density of states at the Fermi level: 1.157 states/eV per atom
Symmetry: P4/mbm

Lattice parameters (Å, degrees): 7.063 7.063 2.919 90.00 90.00 90.00
Fractional coordinates of all 10 atoms:
W  0.691  0.809  0.500
W  0.809  0.309  0.500
W  0.191  0.691  0.500
W  0.309  0.191  0.500
N  0.500  0.500  0.000
N  0.000  0.000  0.000
Cl  0.128  0.372  0.000
Cl  0.628  0.128  0.000
Cl  0.372  0.872  0.000
Cl  0.872  0.628  0.000

What is the stability order? It is entry i, entry ii, from most stable to least stable.

Entry i
Entry from Alexandria via LeMat-Bulk: YNCl3 after structural relaxation (PBE-GGA).

Crystal system: cubic
Spin magnetization: 0.00 μB/f.u.
Density of states at the Fermi level: 0.434 states/eV per atom
Symmetry: Pm-3m

Lattice parameters (Å, degrees): 4.508 4.508 4.508 90.00 90.00 90.00
Fractional coordinates of all 5 atoms:
Cl  0.500  0.000  0.000
Cl  0.000  0.000  0.500
Cl  0.000  0.500  0.000
N  0.000  0.000  0.000
Y  0.500  0.500  0.500

Entry ii
Entry from Alexandria via LeMat-Bulk: YNCl3 after structural relaxation (PBE-GGA).

Crystal system: cubic
Spin magnetization: 3.00 μB/f.u.
Density of states at the Fermi level: 0.000 states/eV per atom
Symmetry: Pm-3m

Lattice parameters (Å, degrees): 5.299 5.299 5.299 90.00 90.00 90.00
Site moments in Bohr magnetons follow the coordinates.
Fractional coordinates of all 5 atoms:
Cl  0.000  0.000  0.500  0.02
Cl  0.000  0.500  0.000  0.01
Cl  0.500  0.000  0.000  0.01
Y  0.000  0.000  0.000  0.00
N  0.500  0.500  0.500  1.93

Entry iii
Entry from Alexandria via LeMat-Bulk: YNCl3 after structural relaxation (PBE-GGA).

Crystal system: triclinic
Spin magnetization: 2.97 μB/f.u.
Density of states at the Fermi level: 0.000 states/eV per atom
Symmetry: P-1

Lattice parameters (Å, degrees): 9.572 5.306 8.530 104.46 99.21 56.34
Site moments in Bohr magnetons follow the coordinates.
Fractional coordinates of all 10 atoms:
Cl  0.934  0.899  0.525  -0.01
Cl  0.188  0.232  0.742  0.00
Cl  0.676  0.572  0.313  0.00
Cl  0.692  0.728  0.741  0.00
Cl  0.434  0.401  0.529  -0.01
Cl  0.180  0.068  0.313  0.00
N  0.444  0.561  0.953  1.94
N  0.924  0.739  0.102  1.94
Y  0.434  0.901  0.529  0.00
Y  0.934  0.399  0.525  0.00

What is the stability order? It is entry iii, entry ii, entry i, from most stable to least stable.

Entry i
Entry from Alexandria via LeMat-Bulk: Zn2NCl after structural relaxation (PBE-GGA).

Crystal system: orthorhombic
Spin magnetization: 0.00 μB/f.u.
Density of states at the Fermi level: 0.000 states/eV per atom
Symmetry: Pna2_1

Lattice parameters (Å, degrees): 6.085 6.191 7.628 90.00 90.00 90.00
Fractional coordinates of all 16 atoms:
Zn  0.650  0.001  0.504
Zn  0.381  0.107  0.834
Zn  0.150  0.499  0.004
Zn  0.881  0.393  0.334
Zn  0.381  0.607  0.666
Zn  0.881  0.893  0.166
Zn  0.650  0.501  0.996
Zn  0.150  0.999  0.496
Cl  0.428  0.915  0.106
Cl  0.428  0.415  0.394
Cl  0.928  0.085  0.894
Cl  0.928  0.585  0.606
N  0.897  0.581  0.128
N  0.397  0.419  0.872
N  0.397  0.919  0.628
N  0.897  0.081  0.372

Entry ii
Entry from Alexandria via LeMat-Bulk: Zn2NCl after structural relaxation (PBE-GGA).

Crystal system: cubic
Spin magnetization: 0.00 μB/f.u.
Density of states at the Fermi level: 0.093 states/eV per atom
Symmetry: Fm-3m

Lattice parameters (Å, degrees): 4.274 4.274 4.274 60.00 60.00 60.00
Fractional coordinates of all 4 atoms:
Zn  0.250  0.250  0.250
Zn  0.750  0.750  0.750
Cl  0.500  0.500  0.500
N  0.000  0.000  0.000

Entry iii
Entry from Alexandria via LeMat-Bulk: Zn2NCl after structural relaxation (PBE-GGA).

Crystal system: monoclinic
Spin magnetization: 0.00 μB/f.u.
Density of states at the Fermi level: 0.079 states/eV per atom
Symmetry: Cm

Lattice parameters (Å, degrees): 3.479 3.479 7.289 76.16 76.13 59.99
Fractional coordinates of all 4 atoms:
Cl  0.744  0.190  0.663
Zn  0.144  0.590  0.464
Zn  0.580  0.024  0.160
N  0.236  0.680  0.192

What is the stability order? It is entry i, entry iii, entry ii, from most stable to least stable.

Entry i
Entry from Alexandria via LeMat-Bulk: ZrN2Cl after structural relaxation (PBE-GGA).

Crystal system: tetragonal
Spin magnetization: 0.00 μB/f.u.
Density of states at the Fermi level: 0.549 states/eV per atom
Symmetry: I4_1/amd

Lattice parameters (Å, degrees): 3.967 3.967 8.164 75.94 75.94 90.00
Fractional coordinates of all 8 atoms:
N  0.875  0.125  0.750
N  0.875  0.625  0.250
N  0.375  0.125  0.750
N  0.875  0.125  0.250
Zr  0.750  0.250  0.500
Zr  0.000  0.000  0.000
Cl  0.500  0.500  0.000
Cl  0.250  0.750  0.500

Entry ii
Entry from Alexandria via LeMat-Bulk: ZrN2Cl after structural relaxation (PBE-GGA).

Crystal system: trigonal
Spin magnetization: 0.00 μB/f.u.
Density of states at the Fermi level: 0.895 states/eV per atom
Symmetry: R-3m

Lattice parameters (Å, degrees): 6.340 6.340 6.340 31.14 31.14 31.14
Fractional coordinates of all 4 atoms:
Cl  0.000  0.000  0.000
Zr  0.500  0.500  0.500
N  0.892  0.892  0.892
N  0.108  0.108  0.108

What is the stability order? It is entry ii, entry i, from most stable to least stable.

Entry i
Entry from Alexandria via LeMat-Bulk: NaCl3 after structural relaxation (PBE-GGA).

Crystal system: cubic
Spin magnetization: 2.00 μB/f.u.
Density of states at the Fermi level: 1.051 states/eV per atom
Symmetry: Fm-3m

Lattice parameters (Å, degrees): 5.128 5.128 5.128 60.00 60.00 60.00
Site moments in Bohr magnetons follow the coordinates.
Fractional coordinates of all 4 atoms:
Cl  0.750  0.750  0.750  0.43
Cl  0.250  0.250  0.250  0.43
Cl  0.500  0.500  0.500  0.73
Na  0.000  0.000  0.000  0.00

Entry ii
Entry from Alexandria via LeMat-Bulk: NaCl3 after structural relaxation (PBE-GGA).

Crystal system: cubic
Spin magnetization: 0.00 μB/f.u.
Density of states at the Fermi level: 1.572 states/eV per atom
Symmetry: Pm-3n

Lattice parameters (Å, degrees): 5.524 5.524 5.524 90.00 90.00 90.00
Fractional coordinates of all 8 atoms:
Cl  0.000  0.250  0.500
Cl  0.750  0.500  0.000
Cl  0.000  0.750  0.500
Cl  0.250  0.500  0.000
Cl  0.500  0.000  0.250
Cl  0.500  0.000  0.750
Na  0.500  0.500  0.500
Na  0.000  0.000  0.000

Entry iii
Entry from Alexandria via LeMat-Bulk: NaCl3 after structural relaxation (PBE-GGA).

Crystal system: orthorhombic
Spin magnetization: 0.00 μB/f.u.
Density of states at the Fermi level: 0.000 states/eV per atom
Symmetry: Pnma

Lattice parameters (Å, degrees): 6.382 8.135 8.126 90.00 90.00 90.00
Fractional coordinates of all 16 atoms:
Cl  0.250  0.791  0.560
Cl  0.250  0.967  0.354
Cl  0.750  0.209  0.440
Cl  0.250  0.533  0.854
Cl  0.250  0.164  0.129
Cl  0.750  0.291  0.940
Cl  0.250  0.709  0.060
Cl  0.750  0.033  0.646
Cl  0.750  0.467  0.146
Cl  0.250  0.336  0.629
Cl  0.750  0.836  0.871
Cl  0.750  0.664  0.371
Na  0.750  0.537  0.692
Na  0.250  0.463  0.308
Na  0.750  0.963  0.192
Na  0.250  0.037  0.808

What is the stability order? It is entry iii, entry ii, entry i, from most stable to least stable.